Computed, not measured: a relaxed structure of Sr2MnTeO6 at the GGA+U level of DFT.

a b c (Å): 5.761 5.769 8.133
angles (deg): 90.00 89.87 90.00
Last column: magnetic moment on the atom in μB.
Positions (direct):
Mn 0.500 0.500 0.500  4.60
O 0.934 0.986 0.264  0.03
O 0.234 0.293 0.034  0.03
O 0.203 0.268 0.464  0.03
Mn 0.000 0.000 0.000  4.60
Sr 0.006 0.527 0.250  0.00
O 0.734 0.207 0.534  0.03
O 0.797 0.732 0.536  0.03
Sr 0.994 0.473 0.750  0.00
O 0.703 0.232 0.964  0.03
Te 0.500 0.500 0.000  0.05
Sr 0.494 0.027 0.250  0.00
O 0.297 0.768 0.036  0.03
O 0.266 0.793 0.466  0.03
O 0.434 0.514 0.764  0.03
O 0.066 0.014 0.736  0.03
O 0.766 0.707 0.966  0.03
Sr 0.506 0.973 0.750  0.00
O 0.566 0.486 0.236  0.03
Te 0.000 0.000 0.500  0.05

* total magnetization: 0.500 μB per atom
* total DFT energy (no corrections): -6.47 eV/atom
* space group: P2_1/c, No. 14